(1)
Compound: TlCuSn
Source: Alexandria via LeMat-Bulk
Functional: PBE
Structure: optimized geometry

Computed properties:
energy relative to the elements	76	meV/atom
total DFT energy (no corrections)	-10.24	eV/f.u.

```
6
Lattice="5.138 0.000 -0.001 -2.569 4.317 0.025 0.000 1.581 7.163" Properties=species:S:1:pos:R:3 pbc="T T T"
Tl 1.545 1.883 0.470
Tl -1.024 3.404 2.379
Sn 4.114 2.201 6.034
Sn 1.545 2.204 4.059
Cu 0.260 4.373 5.011
Cu 2.831 4.373 5.011
```

(2)
Compound: BRhF
Source: Alexandria via LeMat-Bulk
Functional: PBE
Structure: optimized geometry

Computed properties:
energy relative to the elements, uncorrected	-584	meV per atom
total DFT energy (no corrections)	-17.65	eV/f.u.

```
6
Lattice="2.535 0.000 0.000 1.267 4.941 0.758 1.267 1.812 7.278" Properties=species:S:1:pos:R:3 pbc="T T T"
B 2.535 5.616 5.815
B 2.535 1.137 2.222
Rh 3.802 4.600 4.342
Rh 1.267 2.152 3.694
F 1.267 1.145 1.137
F 3.802 5.607 6.899
```

(3)
Compound: Li2NbPbO
Source: Alexandria via LeMat-Bulk
Functional: PBE
Structure: optimized geometry

Computed properties:
energy relative to the elements, uncorrected	1276	meV per atom
total DFT energy (no corrections)	-16.19	eV/f.u.

```
5
Lattice="5.129 0.000 0.000 0.000 5.532 0.000 0.000 0.000 5.129" Properties=species:S:1:pos:R:3 pbc="T T T"
Pb 0.000 2.766 0.000
Nb 0.000 0.000 0.000
O 2.565 2.766 2.565
Li 0.000 0.000 2.565
Li 2.565 0.000 0.000
```

(4)
Compound: Sr2SmAlSe5
Source: Alexandria via LeMat-Bulk
Functional: PBE
Structure: optimized geometry

Computed properties:
energy relative to the elements, uncorrected	-1693	meV per atom
total DFT energy (no corrections)	-44.48	eV/f.u.

```
18
Lattice="4.146 0.000 0.000 -2.073 9.395 0.000 0.000 0.000 12.979" Properties=species:S:1:pos:R:3 pbc="T T T"
Sr 2.073 7.111 10.756
Sr 0.000 2.194 8.868
Sr 0.000 2.284 4.266
Sr 2.073 7.201 2.378
Sm 2.073 5.519 6.866
Sm 0.000 3.875 0.376
Al 2.073 1.085 12.034
Al 0.000 8.309 5.544
Se 0.000 6.695 0.103
Se 2.073 3.410 11.263
Se 0.000 9.359 9.965
Se 0.000 5.548 8.845
Se 2.073 8.616 6.893
Se 2.073 2.700 6.592
Se 0.000 5.985 4.773
Se 2.073 0.035 3.475
Se 2.073 3.847 2.356
Se 0.000 0.778 0.403
```

(5)
Compound: Cu2RhSe
Source: Alexandria via LeMat-Bulk
Functional: PBE
Structure: optimized geometry

Computed properties:
energy relative to the elements, uncorrected	194	meV per atom
total DFT energy (no corrections)	-18.25	eV/f.u.

```
8
Lattice="7.002 0.000 0.000 0.000 7.002 0.000 3.501 3.501 2.466" Properties=species:S:1:pos:R:3 pbc="T T T"
Rh 0.000 0.000 0.000
Rh 7.002 3.501 1.233
Cu 5.119 1.751 0.616
Cu 1.883 5.252 0.616
Cu 5.252 5.384 1.849
Cu 8.753 8.620 1.849
Se 3.501 3.501 0.000
Se 3.501 7.002 1.233
```

(6)
Compound: K3SiH
Source: Alexandria via LeMat-Bulk
Functional: PBE
Structure: optimized geometry

Computed properties:
total DFT energy (no corrections)	-11.09	eV/f.u.

```
5
Lattice="5.381 0.000 0.000 0.000 5.381 0.000 0.000 0.000 5.381" Properties=species:S:1:pos:R:3 pbc="T T T"
H 0.000 0.000 0.000
K 0.000 2.690 0.000
K 0.000 0.000 2.690
K 2.690 0.000 0.000
Si 2.690 2.690 2.690
```

| no. | V (Å³/cell) |
| --- | --- |
| 1 | 158.7 |
| 2 | 87.7 |
| 3 | 145.5 |
| 4 | 505.6 |
| 5 | 120.9 |
| 6 | 155.8 |